Entry 1:
# AgGe3N | Alexandria via LeMat-Bulk | PBE | optimized geometry
# - Formation energy from raw total energies: 3.32 eV per formula unit
# - Uncorrected energy: -4.34 eV per atom
# - Theoretical density: 6.56 g/cm3
data_AgGe3N
_chemical_formula_sum 'Ag1 Ge3 N1'
_cell_length_a 4.415
_cell_length_b 4.415
_cell_length_c 4.415
_cell_angle_alpha 90.00
_cell_angle_beta 90.00
_cell_angle_gamma 90.00
_symmetry_space_group_name_H-M 'P 1'
_symmetry_Int_Tables_number 1
_symmetry_space_group_name_Hall 'P 1'
loop_
_atom_site_label
_atom_site_fract_x
_atom_site_fract_y
_atom_site_fract_z
Ge1 0.500 0.000 0.000
N1 0.000 0.000 0.000
Ag1 0.500 0.500 0.500
Ge2 0.000 0.500 0.000
Ge3 0.000 0.000 0.500

***

Entry 2:
# Ce5PuGe2Os | Alexandria via LeMat-Bulk | PBE | optimized geometry
# - Formation energy: -0.410 eV/atom
# - Uncorrected energy: -7.57 eV per atom
# - Theoretical density: 9.88 g/cm3
data_Ce5PuGe2Os
_chemical_formula_sum 'Ce10 Pu2 Ge4 Os2'
_cell_length_a 4.515
_cell_length_b 9.442
_cell_length_c 10.392
_cell_angle_alpha 90.00
_cell_angle_beta 90.00
_cell_angle_gamma 103.83
_symmetry_space_group_name_H-M 'P 1'
_symmetry_Int_Tables_number 1
_symmetry_space_group_name_Hall 'P 1'
loop_
_atom_site_label
_atom_site_fract_x
_atom_site_fract_y
_atom_site_fract_z
Ge1 0.101 0.201 0.322
Ce1 0.360 0.721 0.030
Ce2 0.969 0.937 0.526
Ge2 0.126 0.252 0.752
Ce3 0.301 0.602 0.670
Ce4 0.496 0.993 0.260
Ce5 0.504 0.007 0.760
Ce6 0.699 0.398 0.170
Pu1 0.406 0.812 0.446
Os1 0.207 0.413 0.990
Os2 0.793 0.587 0.490
Ce7 0.640 0.279 0.530
Ce8 0.031 0.063 0.026
Ge3 0.899 0.799 0.822
Pu2 0.594 0.188 0.946
Ge4 0.874 0.748 0.252
Ce9 0.736 0.472 0.828
Ce10 0.264 0.528 0.328

***

Entry 3:
# CsMgI2 | Alexandria via LeMat-Bulk | PBE | optimized geometry
# - Formation energy from raw total energies: -2.90 eV per formula unit
# - Uncorrected energy: -2.11 eV per atom
# - Theoretical density: 4.04 g/cm3
data_CsMgI2
_chemical_formula_sum 'Cs1 Mg1 I2'
_cell_length_a 6.206
_cell_length_b 6.206
_cell_length_c 6.206
_cell_angle_alpha 60.00
_cell_angle_beta 60.00
_cell_angle_gamma 60.00
_symmetry_space_group_name_H-M 'P 1'
_symmetry_Int_Tables_number 1
_symmetry_space_group_name_Hall 'P 1'
loop_
_atom_site_label
_atom_site_fract_x
_atom_site_fract_y
_atom_site_fract_z
Mg1 0.000 0.000 0.000
I1 0.750 0.750 0.750
I2 0.250 0.250 0.250
Cs1 0.500 0.500 0.500

***

Entry 4:
# Hf3AlS | Alexandria via LeMat-Bulk | PBE | optimized geometry
# - Formation energy from raw total energies: -1.40 eV per formula unit
# - Uncorrected energy: -7.83 eV per atom
# - Theoretical density: 9.34 g/cm3
data_Hf3AlS
_chemical_formula_sum 'Hf3 Al1 S1'
_cell_length_a 4.729
_cell_length_b 4.729
_cell_length_c 4.729
_cell_angle_alpha 90.00
_cell_angle_beta 90.00
_cell_angle_gamma 90.00
_symmetry_space_group_name_H-M 'P 1'
_symmetry_Int_Tables_number 1
_symmetry_space_group_name_Hall 'P 1'
loop_
_atom_site_label
_atom_site_fract_x
_atom_site_fract_y
_atom_site_fract_z
Hf1 0.000 0.000 0.500
S1 0.000 0.000 0.000
Hf2 0.000 0.500 0.000
Al1 0.500 0.500 0.500
Hf3 0.500 0.000 0.000

***

Entry 5:
# BeAlOs2 | Alexandria via LeMat-Bulk | PBE | optimized geometry
# - Formation energy: 0.029 eV/atom
# - Uncorrected energy: -7.45 eV per atom
# - Theoretical density: 13.07 g/cm3
data_BeAlOs2
_chemical_formula_sum 'Be1 Al1 Os2'
_cell_length_a 4.884
_cell_length_b 4.814
_cell_length_c 2.729
_cell_angle_alpha 75.86
_cell_angle_beta 85.57
_cell_angle_gamma 119.04
_symmetry_space_group_name_H-M 'P 1'
_symmetry_Int_Tables_number 1
_symmetry_space_group_name_Hall 'P 1'
loop_
_atom_site_label
_atom_site_fract_x
_atom_site_fract_y
_atom_site_fract_z
Os1 0.500 0.000 0.500
Al1 0.000 0.500 0.500
Os2 0.000 0.000 0.000
Be1 0.500 0.500 0.000

***

Entry 6:
# OsPb3Cl2O6 | Alexandria via LeMat-Bulk | PBE | optimized geometry
# - Formation energy from raw total energies: -10.94 eV per formula unit
# - Uncorrected energy: -5.56 eV per atom
# - Theoretical density: 6.88 g/cm3
data_OsPb3Cl2O6
_chemical_formula_sum 'Os1 Pb3 Cl2 O6'
_cell_length_a 5.854
_cell_length_b 6.693
_cell_length_c 6.940
_cell_angle_alpha 118.83
_cell_angle_beta 83.42
_cell_angle_gamma 90.00
_symmetry_space_group_name_H-M 'P 1'
_symmetry_Int_Tables_number 1
_symmetry_space_group_name_Hall 'P 1'
loop_
_atom_site_label
_atom_site_fract_x
_atom_site_fract_y
_atom_site_fract_z
Pb1 0.500 0.000 0.500
O1 0.324 0.143 0.285
Os1 0.500 0.000 0.000
O2 0.315 0.744 0.895
O3 0.685 0.849 0.105
O4 0.685 0.256 0.105
O5 0.676 0.857 0.715
O6 0.315 0.151 0.895
Pb2 0.000 0.500 0.000
Cl1 0.875 0.286 0.572
Pb3 0.500 0.500 0.500
Cl2 0.125 0.714 0.428

***

Entry 7:
# CdTc3W | Alexandria via LeMat-Bulk | PBE | optimized geometry
# - Formation energy: 1.574 eV/atom
# - Uncorrected energy: -7.42 eV per atom
# - Theoretical density: 9.21 g/cm3
data_CdTc3W
_chemical_formula_sum 'Cd1 Tc3 W1'
_cell_length_a 4.740
_cell_length_b 4.740
_cell_length_c 4.740
_cell_angle_alpha 90.00
_cell_angle_beta 90.00
_cell_angle_gamma 90.00
_symmetry_space_group_name_H-M 'P 1'
_symmetry_Int_Tables_number 1
_symmetry_space_group_name_Hall 'P 1'
loop_
_atom_site_label
_atom_site_fract_x
_atom_site_fract_y
_atom_site_fract_z
Tc1 0.000 0.500 0.000
W1 0.000 0.000 0.000
Tc2 0.500 0.000 0.000
Cd1 0.500 0.500 0.500
Tc3 0.000 0.000 0.500

***

Entry 8:
# Tl6CdAu2 | Alexandria via LeMat-Bulk | PBE | optimized geometry
# - Formation energy: 0.018 eV/atom
# - Uncorrected energy: -2.39 eV per atom
# - Theoretical density: 11.60 g/cm3
data_Tl6CdAu2
_chemical_formula_sum 'Tl6 Cd1 Au2'
_cell_length_a 3.458
_cell_length_b 7.724
_cell_length_c 9.996
_cell_angle_alpha 73.68
_cell_angle_beta 80.04
_cell_angle_gamma 77.07
_symmetry_space_group_name_H-M 'P 1'
_symmetry_Int_Tables_number 1
_symmetry_space_group_name_Hall 'P 1'
loop_
_atom_site_label
_atom_site_fract_x
_atom_site_fract_y
_atom_site_fract_z
Tl1 0.764 0.353 0.120
Tl2 0.964 0.359 0.712
Tl3 0.331 0.794 0.545
Cd1 0.000 0.000 0.000
Tl4 0.036 0.641 0.288
Au1 0.623 0.992 0.761
Au2 0.377 0.008 0.239
Tl5 0.236 0.647 0.880
Tl6 0.669 0.206 0.455